1.
# Sr3LaIr8 PBE-GGA optimized geometry
data_Sr3LaIr8
_chemical_formula_sum 'Sr9 La3 Ir24'
_symmetry_space_group_name_H-M 'R 3 m'
_symmetry_Int_Tables_number 160
_symmetry_space_group_name_Hall 'R 3 -2"'
_cell_length_a 5.4815
_cell_length_b 5.4815
_cell_length_c 26.8330
_cell_angle_alpha 90.00
_cell_angle_beta 90.00
_cell_angle_gamma 120.00
loop_
_atom_site_label
_atom_site_type_symbol
_atom_site_fract_x
_atom_site_fract_y
_atom_site_fract_z
Sr1 Sr 0.0000 0.0000 0.0000
Sr2 Sr 0.0000 0.0000 0.1240
Sr3 Sr 0.0000 0.0000 0.6266
La1 La 0.0000 0.0000 0.5003
Ir1 Ir 0.0000 0.0000 0.3127
Ir2 Ir 0.0000 0.0000 0.8126
Ir3 Ir 0.0014 0.5007 0.0634
Ir4 Ir 0.1672 0.3344 0.8954
# Raw total energy, Ha/atom: -0.2617
# D(E_F), states/eV/cell: 44.34
# Energy of formation, eV/atom: -0.38



2.
# BaNbI2O PBE-GGA optimized geometry
data_BaNbI2O
_chemical_formula_sum 'Ba1 Nb1 I2 O1'
_symmetry_space_group_name_H-M 'P 4/m m m'
_symmetry_Int_Tables_number 123
_symmetry_space_group_name_Hall '-P 4 2'
_cell_length_a 6.029
_cell_length_b 6.029
_cell_length_c 4.024
_cell_angle_alpha 90.00
_cell_angle_beta 90.00
_cell_angle_gamma 90.00
loop_
_atom_site_label
_atom_site_type_symbol
_atom_site_fract_x
_atom_site_fract_y
_atom_site_fract_z
Ba1 Ba 0.000 0.000 0.000
Nb1 Nb 0.500 0.500 0.500
I1 I 0.000 0.500 0.500
O1 O 0.500 0.500 0.000
# Raw total energy, Ha/atom: -0.1891
# D(E_F), states/eV/cell: 2.63
# Excess energy over the best structure of this formula in the dataset, eV/atom: 0.000



3.
# Cs3U3CdTe8 PBE-GGA optimized geometry
data_Cs3U3CdTe8
_chemical_formula_sum 'Cs9 U9 Cd3 Te24'
_symmetry_space_group_name_H-M 'R -3 m'
_symmetry_Int_Tables_number 166
_symmetry_space_group_name_Hall '-R 3 2"'
_cell_length_a 8.9827
_cell_length_b 8.9827
_cell_length_c 27.2798
_cell_angle_alpha 90.00
_cell_angle_beta 90.00
_cell_angle_gamma 120.00
loop_
_atom_site_label
_atom_site_type_symbol
_atom_site_fract_x
_atom_site_fract_y
_atom_site_fract_z
Cs1 Cs 0.0000 0.5000 0.0000
U1 U 0.0000 0.5000 0.5000
Cd1 Cd 0.0000 0.0000 0.5000
Te1 Te 0.0000 0.0000 0.2303
Te2 Te 0.0054 0.5027 0.7707
# Raw total energy, Ha/atom: -0.1812
# D(E_F), states/eV/cell: 38.71



4.
# TbHo4S7 PBE-GGA optimized geometry
data_TbHo4S7
_chemical_formula_sum 'Tb2 Ho8 S14'
_symmetry_space_group_name_H-M 'C 1 m 1'
_symmetry_Int_Tables_number 8
_symmetry_space_group_name_Hall 'C -2y'
_cell_length_a 12.828
_cell_length_b 3.796
_cell_length_c 11.588
_cell_angle_alpha 90.00
_cell_angle_beta 104.52
_cell_angle_gamma 90.00
loop_
_atom_site_label
_atom_site_type_symbol
_atom_site_fract_x
_atom_site_fract_y
_atom_site_fract_z
Tb1 Tb 0.000 0.000 0.000
Ho1 Ho 0.112 0.000 0.422
Ho2 Ho 0.224 0.000 0.842
Ho3 Ho 0.312 0.500 0.234
Ho4 Ho 0.412 0.000 0.608
S1 S 0.070 0.000 0.636
S2 S 0.112 0.500 0.919
S3 S 0.154 0.000 0.207
S4 S 0.271 0.500 0.472
S5 S 0.352 0.500 0.772
S6 S 0.369 0.000 0.069
S7 S 0.453 0.000 0.370
# Raw total energy, Ha/atom: -0.2348
# D(E_F), states/eV/cell: 2.84